La2PrIr2 | Alexandria | PBE | optimized geometry; VASP energy = -7.11 eV per atom; formation energy from the elements = -641 meV per atom; relative energy among the computed polymorphs = 0 meV/atom
1.0
-1.451 -4.147 0.831
0.657 0.936 5.822
-9.901 3.910 2.221
Pr Ir La
2 4 4
Direct
0.250 0.543 0.207
0.750 0.457 0.793
0.750 0.665 0.029
0.750 0.307 0.366
0.250 0.335 0.971
0.250 0.693 0.634
0.750 0.768 0.467
0.250 0.232 0.533
0.750 0.113 0.116
0.250 0.887 0.884

La8PrIr4 | Alexandria | PBE | optimized geometry; VASP energy = -6.65 eV per atom; formation energy from the elements = -526 meV per atom
1.0
4.224 0.000 0.915
1.991 10.041 1.014
0.064 -0.164 9.911
Ir La Pr
4 8 1
Direct
0.657 0.184 0.502
0.814 0.530 0.841
0.374 0.820 0.432
0.217 0.473 0.092
0.832 0.296 0.041
0.169 0.031 0.630
0.862 0.972 0.303
0.876 0.681 0.567
0.155 0.323 0.367
0.581 0.633 0.205
0.450 0.371 0.729
0.200 0.708 0.893
0.516 0.002 0.967

La2Pr3Ir2 | Alexandria | PBE | optimized geometry; VASP energy = -6.48 eV per atom; formation energy from the elements = -490 meV per atom
1.0
-3.659 0.728 1.423
-0.348 -5.473 -3.694
3.089 -1.502 8.710
Pr Ir La
3 2 2
Direct
0.500 0.000 0.000
0.617 0.234 0.421
0.383 0.766 0.579
0.183 0.367 0.244
0.817 0.633 0.756
0.173 0.346 0.808
0.827 0.654 0.192

La5PrIr4 | Alexandria | PBE | optimized geometry; VASP energy = -7.09 eV per atom; formation energy from the elements = -607 meV per atom; relative energy among the computed polymorphs = 24 meV/atom
1.0
4.691 0.000 -1.489
-0.053 7.170 -0.167
-0.004 0.001 8.121
La Ir Pr
5 4 1
Direct
0.166 0.513 0.333
0.500 0.500 0.000
0.165 0.011 0.331
0.834 0.487 0.667
0.835 0.989 0.669
0.015 0.255 0.030
0.332 0.246 0.664
0.985 0.745 0.970
0.668 0.754 0.336
0.500 0.000 0.000

La3PrIr | Alexandria | PBE | optimized geometry; VASP energy = -5.93 eV per atom; formation energy from the elements = -243 meV per atom; relative energy among the computed polymorphs = 62 meV/atom
1.0
-4.276 -1.178 -3.585
3.773 -1.351 -4.057
-0.011 -5.414 1.792
La Pr Ir
3 1 1
Direct
0.000 0.000 0.500
0.000 0.500 0.000
0.500 0.000 0.000
0.500 0.500 0.500
0.000 0.000 0.000

La2PrIr2 | Alexandria | PBE | optimized geometry; VASP energy = -7.09 eV per atom; formation energy from the elements = -616 meV per atom; relative energy among the computed polymorphs = 25 meV/atom
1.0
-1.879 1.622 -3.477
-5.149 -1.014 2.310
3.571 5.441 3.232
Pr Ir La
1 2 2
Direct
0.000 0.000 0.000
0.344 0.844 0.687
0.656 0.156 0.313
0.315 0.315 0.629
0.685 0.685 0.371